1.
The following is a DFT calculation (PBE) of a geometry-optimized BaAgAs2 structure.

Cell: 5.255 5.255 5.255 Å, 60.00 60.00 60.00°
Fractional positions:
1 As 0.000 0.000 0.000
2 As 0.250 0.250 0.250
3 Ba 0.750 0.750 0.750
4 Ag 0.500 0.500 0.500

Calculated values
E_form in eV/atom: -0.073
Symmetry: F-43m (216)

=====

2.
The following is a DFT calculation (PBE) of a geometry-optimized BaAgAs structure.

Cell: 4.658 4.659 13.732 Å, 90.00 90.00 120.00°
Fractional positions:
1 As 0.161 0.323 0.831
2 As 0.828 0.656 0.500
3 As 0.161 0.323 0.169
4 Ba 0.495 0.989 0.334
5 Ba 0.495 0.989 0.666
6 Ba 0.495 0.989 0.000
7 Ag 0.828 0.656 0.167
8 Ag 0.828 0.656 0.833
9 Ag 0.161 0.323 0.500

Calculated values
E_form in eV/atom: -0.781
Symmetry: P-6m2 (187)

=====

3.
The following is a DFT calculation (PBE) of a geometry-optimized BaAg3As2 structure.

Cell: 4.497 9.186 8.746 Å, 53.66 75.10 75.83°
Fractional positions:
1 Ag 0.594 0.330 0.481
2 Ag 0.953 0.384 0.710
3 Ag 0.406 0.670 0.519
4 Ag 0.047 0.616 0.290
5 Ag 0.311 0.444 0.933
6 Ag 0.689 0.556 0.067
7 As 0.481 0.175 0.864
8 As 0.806 0.698 0.689
9 As 0.194 0.302 0.311
10 As 0.519 0.825 0.136
11 Ba 0.147 0.934 0.772
12 Ba 0.853 0.066 0.228

Calculated values
E_form in eV/atom: -0.391
Symmetry: C2/m (12)

=====

4.
The following is a DFT calculation (PBE) of a geometry-optimized BaAgAs structure.

Cell: 5.795 5.795 12.894 Å, 90.00 90.00 120.00°
Site moments in Bohr magnetons follow the coordinates.
Fractional positions:
1 Ba 0.000 0.000 0.250  0.04
2 Ba 0.000 0.000 0.750  0.04
3 Ag 0.667 0.333 0.750  0.03
4 Ag 0.333 0.667 0.250  0.03
5 As 0.000 0.000 0.000  0.76
6 As 0.000 0.000 0.500  0.77

Calculated values
E_form in eV/atom: 0.635
Symmetry: P6_3/mmc (194)

=====

5.
The following is a DFT calculation (PBE) of a geometry-optimized Ba6Ag2As structure.

Cell: 8.049 9.004 12.078 Å, 90.00 90.30 90.00°
Fractional positions:
1 Ba 0.849 0.950 0.256
2 Ba 0.326 0.823 0.427
3 Ba 0.167 0.314 0.434
4 Ba 0.667 0.186 0.934
5 Ba 0.151 0.050 0.744
6 Ba 0.826 0.677 0.927
7 Ba 0.651 0.450 0.244
8 Ba 0.333 0.814 0.066
9 Ba 0.833 0.686 0.566
10 Ba 0.349 0.550 0.756
11 Ba 0.674 0.177 0.573
12 Ba 0.174 0.323 0.073
13 As 0.500 0.500 0.000
14 As 0.000 0.000 0.500
15 Ag 0.448 0.109 0.250
16 Ag 0.052 0.609 0.250
17 Ag 0.552 0.891 0.750
18 Ag 0.948 0.391 0.750

Calculated values
E_form in eV/atom: -0.367
Symmetry: P2_1/c (14)

=====

6.
The following is a DFT calculation (PBE) of a geometry-optimized BaAgAs structure.

Cell: 6.838 5.962 4.724 Å, 89.96 90.00 90.00°
Fractional positions:
1 Ba 0.421 0.761 0.573
2 Ba 0.921 0.126 0.073
3 As 0.219 0.264 0.573
4 As 0.719 0.624 0.073
5 Ag 0.405 0.327 0.073
6 Ag 0.905 0.560 0.573

Calculated values
E_form in eV/atom: -0.657
Symmetry: Pmn2_1 (31)

=====

7.
The following is a DFT calculation (PBE) of a geometry-optimized Ba2AgAs2 structure.

Cell: 8.156 8.156 4.684 Å, 90.00 90.00 90.00°
Fractional positions:
1 Ag 0.500 0.500 0.000
2 Ag 0.000 0.000 0.000
3 Ba 0.815 0.315 0.500
4 Ba 0.685 0.815 0.500
5 Ba 0.315 0.185 0.500
6 Ba 0.185 0.685 0.500
7 As 0.891 0.609 0.000
8 As 0.109 0.391 0.000
9 As 0.391 0.891 0.000
10 As 0.609 0.109 0.000

Calculated values
E_form in eV/atom: -0.711
Symmetry: P4/mbm (127)
Polymorph energy (0 for the lowest one) in eV/atom: 0.130

=====

8.
The following is a DFT calculation (PBE) of a geometry-optimized BaAg4As2 structure.

Cell: 4.373 8.405 8.405 Å, 90.00 90.00 90.00°
Fractional positions:
1 Ag 0.500 0.415 0.842
2 Ag 0.000 0.658 0.915
3 Ag 0.500 0.158 0.585
4 Ag 0.500 0.585 0.158
5 Ag 0.000 0.342 0.085
6 Ag 0.000 0.915 0.658
7 Ag 0.500 0.842 0.415
8 Ag 0.000 0.085 0.342
9 As 0.000 0.782 0.218
10 As 0.500 0.282 0.282
11 As 0.000 0.218 0.782
12 As 0.500 0.718 0.718
13 Ba 0.500 0.000 0.000
14 Ba 0.000 0.500 0.500

Calculated values
E_form in eV/atom: -0.328
Symmetry: P4_2/mnm (136)

=====

9.
The following is a DFT calculation (PBE) of a geometry-optimized BaAgAs3 structure.

Cell: 5.162 5.162 5.162 Å, 90.00 90.00 90.00°
Fractional positions:
1 As 0.500 0.000 0.000
2 As 0.000 0.500 0.000
3 As 0.000 0.000 0.500
4 Ba 0.500 0.500 0.500
5 Ag 0.000 0.000 0.000

Calculated values
E_form in eV/atom: -0.012
Symmetry: Pm-3m (221)
Polymorph energy (0 for the lowest one) in eV/atom: 0.000

=====

10.
The following is a DFT calculation (PBE) of a geometry-optimized Ba2AgAs2 structure.

Cell: 9.531 9.531 3.613 Å, 90.00 90.00 90.00°
Fractional positions:
1 Ba 0.862 0.638 0.000
2 Ba 0.638 0.138 0.000
3 Ba 0.138 0.362 0.000
4 Ba 0.362 0.862 0.000
5 As 0.337 0.163 0.500
6 As 0.663 0.837 0.500
7 As 0.837 0.337 0.500
8 As 0.163 0.663 0.500
9 Ag 0.500 0.500 0.000
10 Ag 0.000 0.000 0.000

Calculated values
E_form in eV/atom: -0.334
Symmetry: P4/mbm (127)
Polymorph energy (0 for the lowest one) in eV/atom: 0.508

=====

11.
The following is a DFT calculation (PBE) of a geometry-optimized BaAgAs2 structure.

Cell: 6.144 6.144 6.144 Å, 45.74 45.74 45.74°
Fractional positions:
1 As 0.294 0.294 0.294
2 As 0.005 0.005 0.005
3 Ag 0.702 0.702 0.702
4 Ba 0.498 0.498 0.498

Calculated values
E_form in eV/atom: -0.331
Symmetry: R3m (160)

=====

12.
The following is a DFT calculation (PBE) of a geometry-optimized BaAg3As3 structure.

Cell: 7.226 7.226 7.226 Å, 90.00 90.00 90.00°
Fractional positions:
1 Ba 0.500 0.500 0.500
2 Ba 0.000 0.000 0.000
3 Ag 0.000 0.750 0.500
4 Ag 0.750 0.500 0.000
5 Ag 0.500 0.000 0.250
6 Ag 0.000 0.250 0.500
7 Ag 0.500 0.000 0.750
8 Ag 0.250 0.500 0.000
9 As 0.750 0.000 0.500
10 As 0.000 0.500 0.750
11 As 0.500 0.250 0.000
12 As 0.250 0.000 0.500
13 As 0.500 0.750 0.000
14 As 0.000 0.500 0.250

Calculated values
E_form in eV/atom: -0.124
Symmetry: Pm-3n (223)

=====

| no. | total DFT energy (no corrections) (eV/atom) |
| --- | --- |
| 1 | -3.5915 |
| 2 | -3.9221 |
| 3 | -3.6869 |
| 4 | -2.5062 |
| 5 | -2.7990 |
| 6 | -3.7986 |
| 7 | -3.9103 |
| 8 | -3.5603 |
| 9 | -3.7561 |
| 10 | -3.5332 |
| 11 | -3.8496 |
| 12 | -3.6134 |